The following is a GGA+U calculation of a relaxed structure of Li3FeF6, from the Alexandria database.

```
data_Li3FeF6
_symmetry_space_group_name_H-M 'P 1'
_symmetry_Int_Tables_number 1
_cell_length_a 6.0314
_cell_length_b 6.0314
_cell_length_c 6.0314
_cell_angle_alpha 91.11
_cell_angle_beta 91.11
_cell_angle_gamma 91.11
loop_
_symmetry_equiv_pos_as_xyz
'x,y,z'
loop_
_atom_site_label
_atom_site_type_symbol
_atom_site_fract_x
_atom_site_fract_y
_atom_site_fract_z
Li1 Li 0.0550 0.7477 0.5613
Li2 Li 0.2523 0.4387 0.9450
Li3 Li 0.4387 0.9450 0.2523
Li4 Li 0.5613 0.0550 0.7477
Li5 Li 0.7477 0.5613 0.0550
Li6 Li 0.9450 0.2523 0.4387
Fe1 Fe 0.0000 0.0000 0.0000
Fe2 Fe 0.5000 0.5000 0.5000
F1 F 0.0510 0.6957 0.8994
F2 F 0.1006 0.9490 0.3043
F3 F 0.1950 0.4219 0.5720
F4 F 0.3043 0.1006 0.9490
F5 F 0.4219 0.5720 0.1950
F6 F 0.4280 0.8050 0.5781
F7 F 0.5720 0.1950 0.4219
F8 F 0.5781 0.4280 0.8050
F9 F 0.6957 0.8994 0.0510
F10 F 0.8050 0.5781 0.4280
F11 F 0.8994 0.0510 0.6957
F12 F 0.9490 0.3043 0.1006
```

## Properties
The symmetry is R-3, No. 148. The total magnetization is 5.00 μB per formula unit. Its crystal system is trigonal. Its polymorph energy (0 for the lowest one) is 0 meV per atom. The calculation puts the total DFT energy (no corrections) at -100.7 eV/cell.